Entry 1:
Computed, not measured: an optimized crystal structure of ScGe2N at the PBE level of DFT.

The space group is I-42d (No. 122) and the conventional cell measures 6.2810, 6.2810 and 6.8035 Å, with angles of 90.00, 90.00 and 90.00 degrees. The inequivalent atoms are Sc at (0.0000, 0.0000, 0.0000), Ge at (0.1580, 0.2500, 0.6250) and N at (0.0000, 0.0000, 0.5000).

The value obtained for the size of the total moment is 0.00 μB/cell. Its raw formation energy is 8 kJ per mole of atoms. The total energy is -94.20 eV/cell.

Entry 2:
Computed, not measured: an optimized crystal structure of PuTa2N3 at the PBE level of DFT.

The space group is P2_1/m (No. 11) and the conventional cell measures 5.6249, 3.1302 and 8.3294 Å, with angles of 90.00, 102.97 and 90.00 degrees. The inequivalent atoms are Pu at (0.0223, 0.2500, 0.3282), Ta at (0.2457, 0.2500, 0.9942), Ta at (0.4805, 0.2500, 0.6711), N at (0.1504, 0.7500, 0.1452), N at (0.2872, 0.7500, 0.5085) and N at (0.3919, 0.7500, 0.8481).

The value obtained for the size of the total moment is 9.32 μB/cell. Its raw formation energy is -105 kJ per mole of atoms. The total energy is -139.03 eV/cell.

Entry 3:
Computed, not measured: an optimized crystal structure of La2Nd2YHo2 at the PBE level of DFT.

The space group is C2/m (No. 12) and the conventional cell measures 11.4856, 5.1516 and 8.1658 Å, with angles of 90.00, 98.08 and 90.00 degrees. The inequivalent atoms are La at (0.1423, 0.0000, 0.4264), Nd at (0.2147, 0.5000, 0.1406), Y at (0.0000, 0.0000, 0.0000) and Ho at (0.0705, 0.5000, 0.7156).

The calculation puts the calculated formation energy at 0.0244 eV per atom. The value obtained for the size of the total moment is 0.00 μB/cell. The total energy is -69.68 eV/cell.